[1]
DyFeSi2Tc: optimized geometry, GGA-PBE.

Cell and atoms, written as extended XYZ:
```
5
Lattice="-1.782 -2.494 -2.565 0.772 -3.067 2.445 -3.947 3.538 2.416" Properties=species:S:1:pos:R:3 pbc="T T T"
Dy 0.000 0.000 0.000
Fe -3.117 -0.868 -0.105
Si -1.586 -2.596 0.512
Si -3.371 0.574 1.784
Tc -1.840 -1.154 2.401
```

=====

[2]
Dy2FeSi2Tc: optimized geometry, GGA-PBE.

Cell and atoms, written as extended XYZ:
```
12
Lattice="5.924 0.000 0.000 0.000 5.906 0.000 -2.962 -2.953 6.442" Properties=species:S:1:pos:R:3 pbc="T T T"
Dy 1.431 2.953 4.402
Dy -1.431 0.000 4.402
Dy 1.531 0.000 2.040
Dy 4.393 2.953 2.040
Si 4.368 0.000 1.194
Si 1.556 2.953 1.194
Si 1.406 0.000 5.248
Si -1.406 2.953 5.248
Fe 2.962 4.429 0.000
Fe 2.962 1.476 0.000
Tc 0.000 1.476 0.000
Tc 0.000 4.429 0.000
```

=====

[3]
SmDy2Fe: optimized geometry, GGA-PBE.

Properties
* energy of formation: 0.32 eV/atom

Cell and atoms, written as extended XYZ:
```
4
Lattice="-2.720 0.969 1.935 -2.958 -1.820 -0.126 1.573 -6.469 8.573" Properties=species:S:1:pos:R:3 pbc="T T T"
Dy -4.546 -2.873 4.413
Dy 0.440 -4.448 5.969
Fe -2.053 -3.660 5.191
Sm 0.000 0.000 0.000
```

=====

[4]
SmDyFe4: optimized geometry, GGA-PBE.

Properties
* energy of formation: -0.03 eV/atom

Cell and atoms, written as extended XYZ:
```
6
Lattice="5.176 0.000 0.000 -2.588 4.482 0.000 2.588 1.494 4.226" Properties=species:S:1:pos:R:3 pbc="T T T"
Fe 3.883 2.242 1.585
Fe 1.292 2.242 1.585
Fe 0.000 4.480 1.585
Fe 5.176 2.988 3.695
Sm 0.000 0.000 0.000
Dy 2.588 4.482 3.169
```

=====

[5]
Sm2DyFe: optimized geometry, GGA-PBE.

Properties
* energy of formation: 0.38 eV/atom

Cell and atoms, written as extended XYZ:
```
4
Lattice="3.513 0.000 0.000 1.757 3.043 0.000 1.757 1.014 10.696" Properties=species:S:1:pos:R:3 pbc="T T T"
Fe 3.513 2.028 5.348
Sm 1.757 1.014 7.248
Sm 5.270 3.043 3.447
Dy 0.000 0.000 0.000
```

=====

[6]
SmDy3Fe: optimized geometry, GGA-PBE.

Properties
* energy of formation: 0.11 eV/atom

Cell and atoms, written as extended XYZ:
```
5
Lattice="-3.643 -1.024 -3.685 -0.300 -4.997 1.685 -3.813 1.371 3.388" Properties=species:S:1:pos:R:3 pbc="T T T"
Dy -1.821 -0.512 -1.842
Dy -1.906 0.685 1.694
Dy -0.150 -2.498 0.842
Sm -3.878 -2.325 0.694
Fe 0.000 0.000 0.000
```

=====

[7]
Sm3DyFe8: optimized geometry, GGA-PBE.

Properties
* energy of formation: 0.00 eV/atom

Cell and atoms, written as extended XYZ:
```
12
Lattice="-1.433 -2.263 4.452 -4.366 -2.808 0.198 2.443 -8.644 -0.576" Properties=species:S:1:pos:R:3 pbc="T T T"
Sm -0.037 -9.466 1.239
Sm -1.680 -6.855 2.038
Sm -5.797 -5.075 4.649
Fe -2.787 -4.986 4.143
Fe -3.763 -10.678 3.964
Fe -0.023 -4.725 0.622
Fe -3.050 -9.552 1.748
Fe -1.590 -9.280 3.865
Fe -2.072 -3.858 1.924
Fe -4.249 -5.258 2.022
Fe -1.694 -11.596 2.655
Dy -4.160 -7.678 3.853
```

=====

[8]
SmDyFe10: optimized geometry, GGA-PBE.

Properties
* energy of formation: -0.02 eV/atom

Cell and atoms, written as extended XYZ:
```
12
Lattice="-0.185 2.971 -2.593 1.270 -3.157 -3.707 -8.395 -1.739 -1.394" Properties=species:S:1:pos:R:3 pbc="T T T"
Fe -1.894 0.253 -2.581
Fe -0.781 -1.872 -2.089
Fe -5.576 -1.155 -0.926
Fe -5.416 -2.177 -5.114
Fe -1.263 -1.317 -4.424
Fe -2.819 -0.584 -0.468
Fe 0.542 -0.093 -3.150
Fe -6.344 -3.024 -3.013
Fe -4.290 0.616 -1.994
Fe -6.047 -0.607 -3.270
Dy -3.563 -2.448 -2.551
Sm 0.000 0.000 0.000
```

=====

[9]
SmDy2Fe: optimized geometry, GGA-PBE.

Properties
* energy of formation: 0.08 eV/atom

Cell and atoms, written as extended XYZ:
```
4
Lattice="3.362 0.000 0.000 0.000 3.362 0.000 0.000 0.000 9.087" Properties=species:S:1:pos:R:3 pbc="T T T"
Dy 0.000 0.000 1.607
Dy 0.000 0.000 7.480
Fe 1.681 1.681 0.000
Sm 1.681 1.681 4.544
```

=====

[10]
SmDyFe17: optimized geometry, GGA-PBE.

Properties
* energy of formation: 0.00 eV/atom

Cell and atoms, written as extended XYZ:
```
19
Lattice="-1.801 3.902 4.765 -5.886 -2.416 0.832 1.433 -3.947 4.852" Properties=species:S:1:pos:R:3 pbc="T T T"
Fe -4.824 0.357 4.436
Fe -5.095 -2.055 3.996
Fe -0.719 -3.492 3.672
Fe -1.165 -0.408 6.446
Fe -1.423 -2.823 6.013
Fe 0.478 -1.641 4.825
Fe -3.046 1.115 5.969
Fe -2.941 -1.207 0.420
Fe -3.734 -2.861 2.016
Fe -2.999 2.041 3.611
Fe 0.712 -1.971 2.427
Fe -4.682 -0.561 1.991
Fe -3.207 -3.567 4.480
Fe -0.605 -0.238 1.011
Fe -0.902 1.947 2.384
Fe -0.855 1.592 4.789
Fe -5.654 -2.224 9.446
Dy -2.124 -0.836 3.549
Sm -4.124 -1.622 6.889
```

=====

[11]
SmDy2Fe9: optimized geometry, GGA-PBE.

Properties
* energy of formation: -0.05 eV/atom

Cell and atoms, written as extended XYZ:
```
12
Lattice="-0.281 -3.801 3.412 4.200 -2.645 1.233 2.855 3.092 7.515" Properties=species:S:1:pos:R:3 pbc="T T T"
Fe 3.387 -1.677 6.080
Fe 2.338 -0.097 7.753
Fe 2.202 -3.832 5.492
Fe 4.432 -1.416 8.368
Fe 4.437 -3.256 4.406
Fe 5.465 -1.215 10.600
Fe 2.342 -1.938 3.791
Fe 4.572 0.479 6.667
Fe 1.309 -2.139 1.559
Dy 4.580 -4.212 7.188
Dy 2.195 0.858 4.971
Sm 0.000 0.000 0.000
```

=====

[12]
SmDyZnFe: optimized geometry, GGA-PBE.

Properties
* energy of formation: -0.04 eV/atom

Cell and atoms, written as extended XYZ:
```
4
Lattice="4.962 0.000 0.000 2.481 4.298 0.000 2.481 1.433 4.052" Properties=species:S:1:pos:R:3 pbc="T T T"
Dy 7.444 4.298 3.039
Fe 4.962 2.865 2.026
Sm 2.481 1.433 1.013
Zn 0.000 0.000 0.000
```

=====

| no. | size of the total moment (Bohr magnetons per cell) | electronic total energy (eV/atom) |
| --- | --- | --- |
| 1 | 1.92 | -7.495 |
| 2 | 0.00 | -7.079 |
| 3 | 1.01 | -5.274 |
| 4 | 7.34 | -7.224 |
| 5 | 0.94 | -5.242 |
| 6 | 0.03 | -5.284 |
| 7 | 14.93 | -7.209 |
| 8 | 19.62 | -7.850 |
| 9 | 0.00 | -5.513 |
| 10 | 39.39 | -8.059 |
| 11 | 17.15 | -7.555 |
| 12 | 1.29 | -4.807 |